No. 1
The following is a DFT calculation (GGA-PBEsol) of a relaxed ZrNiTe3 crystal.

Its total energy is -4.58 eV/atom. The density of states at the Fermi level is 12.96 states/eV/f.u. The formation energy (no corrections) comes out at 0.589 eV per atom. For the total magnetic moment, the calculation gives 1.2 Bohr magnetons per cell.

Cell and atoms, written as extended XYZ:
```
5
Lattice="-3.715 3.185 -2.471 0.787 -2.722 -4.693 -3.954 -3.535 1.387" Properties=species:S:1:pos:R:3 pbc="T T T"
Te -1.857 1.593 -1.235
Te 0.394 -1.361 -2.346
Te -1.977 -1.767 0.694
Zr 0.000 0.000 0.000
Ni -3.440 -1.536 -2.888
```



No. 2
The following is a DFT calculation (GGA-PBEsol) of a relaxed NaCoOs2C crystal.

The calculation puts the formation energy from the elements at 0.91 eV/atom. Its total energy is -7.73 eV/atom. The density of states at the Fermi level is 6.52 states/eV/f.u. For the total magnetic moment, the calculation gives 2.0 Bohr magnetons per cell.

Cell and atoms, written as extended XYZ:
```
5
Lattice="-0.576 1.301 -3.670 0.537 -3.648 -1.377 -4.238 -0.772 0.391" Properties=species:S:1:pos:R:3 pbc="T T T"
Na -2.119 -0.386 0.196
Os -0.288 0.650 -1.835
Os 0.269 -1.824 -0.689
C 0.000 0.000 0.000
Co -2.138 -1.559 -2.328
```



No. 3
The following is a DFT calculation (GGA-PBEsol) of a relaxed NiPdS3 crystal.

Its total energy is -4.13 eV/atom. The density of states at the Fermi level is 7.57 states/eV/f.u. The formation energy (no corrections) comes out at 0.922 eV per atom. For the total magnetic moment, the calculation gives 2.5 Bohr magnetons per cell.

Cell and atoms, written as extended XYZ:
```
5
Lattice="4.588 0.000 0.000 0.000 4.588 0.000 0.000 0.000 4.588" Properties=species:S:1:pos:R:3 pbc="T T T"
Ni 2.294 2.294 2.294
S 0.000 2.294 0.000
S 2.294 0.000 0.000
S 0.000 0.000 2.294
Pd 0.000 0.000 0.000
```